# 1
YCd2Ge | PBE | optimized geometry

Cell lengths 3.2535, 3.2535, 33.0255 Å; angles 90.00, 90.00, 120.00 degrees
Space group R-3m (No. 166, hexagonal axes)
Inequivalent atoms, fractional coordinates:
1 Y 0.0000 0.0000 0.0000 (multiplicity 3)
2 Cd 0.0000 0.0000 0.0945 (multiplicity 6)
3 Ge 0.0000 0.0000 0.5000 (multiplicity 3)

The final energy comes out at -2.961 eV/atom. The value obtained for the density of states at the Fermi level is 8.4 states/eV per cell. The formation energy comes out at 267.3 meV/atom.



# 2
YCd2Ge | PBE | optimized geometry

Cell lengths 4.1810, 4.1810, 22.3955 Å; angles 90.00, 90.00, 90.00 degrees
Space group I-42d (No. 122)
Inequivalent atoms, fractional coordinates:
1 Y 0.0000 0.0000 0.0000 (multiplicity 4)
2 Cd 0.2401 0.2500 0.6250 (multiplicity 8)
3 Ge 0.0000 0.0000 0.5000 (multiplicity 4)

The final energy comes out at -3.454 eV/atom. The value obtained for the density of states at the Fermi level is 6.0 states/eV per cell. The formation energy comes out at -226.0 meV/atom.



# 3
YCd2Ge2 | PBE | optimized geometry

Cell lengths 7.7770, 7.7770, 3.7234 Å; angles 90.00, 90.00, 90.00 degrees
Space group P4/mbm (No. 127)
Inequivalent atoms, fractional coordinates:
1 Y 0.0000 0.0000 0.0000 (multiplicity 2)
2 Cd 0.1591 0.3409 0.5000 (multiplicity 4)
3 Ge 0.1354 0.6354 0.0000 (multiplicity 4)

The final energy comes out at -3.627 eV/atom. The value obtained for the density of states at the Fermi level is 5.8 states/eV per cell. The formation energy comes out at -121.4 meV/atom.



# 4
YCdGe3 | PBE | optimized geometry

Cell lengths 5.1031, 5.1031, 5.1031 Å; angles 90.00, 90.00, 90.00 degrees
Space group Pm-3m (No. 221)
Inequivalent atoms, fractional coordinates:
1 Y 0.0000 0.0000 0.0000 (multiplicity 1)
2 Cd 0.5000 0.5000 0.5000 (multiplicity 1)
3 Ge 0.0000 0.5000 0.5000 (multiplicity 3)

The final energy comes out at -3.781 eV/atom. The value obtained for the density of states at the Fermi level is 2.6 states/eV per cell. The formation energy comes out at 465.2 meV/atom.



# 5
YCdGe4 | PBE | optimized geometry

Cell lengths 7.9468, 7.9468, 7.9468 Å; angles 90.00, 90.00, 90.00 degrees
Space group F-43m (No. 216)
Inequivalent atoms, fractional coordinates:
1 Y 0.0000 0.0000 0.0000 (multiplicity 4)
2 Cd 0.2500 0.2500 0.2500 (multiplicity 4)
3 Ge 0.1254 0.1254 0.6254 (multiplicity 16)

The final energy comes out at -4.462 eV/atom. The value obtained for the density of states at the Fermi level is 9.1 states/eV per cell. The formation energy comes out at -154.1 meV/atom.



# 6
Yb2CdGe2 | PBE | optimized geometry

Cell lengths 7.3817, 7.3817, 4.2585 Å; angles 90.00, 90.00, 90.00 degrees
Space group P4/mbm (No. 127)
Inequivalent atoms, fractional coordinates:
1 Yb 0.1753 0.3247 0.0000 (multiplicity 4)
2 Cd 0.0000 0.0000 0.5000 (multiplicity 2)
3 Ge 0.1216 0.6216 0.5000 (multiplicity 4)

The final energy comes out at -3.234 eV/atom. The value obtained for the density of states at the Fermi level is 56.0 states/eV per cell. The formation energy comes out at -593.6 meV/atom.



# 7
YbCdGe | PBE | optimized geometry

Cell lengths 7.2963, 7.2963, 4.4399 Å; angles 90.00, 90.00, 120.00 degrees
Space group P-62m (No. 189)
Inequivalent atoms, fractional coordinates:
1 Yb 0.0000 0.4191 0.0000 (multiplicity 3)
2 Cd 0.0000 0.7447 0.5000 (multiplicity 3)
3 Ge 0.0000 0.0000 0.0000 (multiplicity 1)
4 Ge 0.3333 0.6667 0.5000 (multiplicity 2)

The final energy comes out at -2.912 eV/atom. The value obtained for the density of states at the Fermi level is 0.2 states/eV per cell. The formation energy comes out at -558.8 meV/atom.



# 8
ZnCdGe | PBE | optimized geometry

Cell lengths 2.9908, 2.9908, 7.5203 Å; angles 90.00, 90.00, 120.00 degrees
Space group P3m1 (No. 156)
Inequivalent atoms, fractional coordinates:
1 Zn 0.0000 0.0000 0.0000 (multiplicity 1)
2 Cd 0.3333 0.6667 0.6675 (multiplicity 1)
3 Ge 0.6667 0.3333 0.3017 (multiplicity 1)

The final energy comes out at -2.098 eV/atom. The value obtained for the density of states at the Fermi level is 1.0 states/eV per cell. The formation energy comes out at 171.1 meV/atom.



# 9
Zn2CdGe | PBE | optimized geometry

Cell lengths 3.6875, 3.6875, 20.5790 Å; angles 90.00, 90.00, 120.00 degrees
Space group R-3m (No. 166, hexagonal axes)
Inequivalent atoms, fractional coordinates:
1 Zn 0.0000 0.0000 0.2412 (multiplicity 6)
2 Cd 0.0000 0.0000 0.0000 (multiplicity 3)
3 Ge 0.0000 0.0000 0.5000 (multiplicity 3)

The final energy comes out at -1.808 eV/atom. The value obtained for the density of states at the Fermi level is 3.6 states/eV per cell. The formation energy comes out at 212.1 meV/atom.



# 10
ZnCdGe2 | PBE | optimized geometry

Cell lengths 6.8123, 6.8123, 6.8123 Å; angles 90.00, 90.00, 90.00 degrees
Space group Fm-3m (No. 225)
Inequivalent atoms, fractional coordinates:
1 Zn 0.0000 0.0000 0.0000 (multiplicity 4)
2 Cd 0.0000 0.0000 0.5000 (multiplicity 4)
3 Ge 0.2500 0.2500 0.2500 (multiplicity 8)

The final energy comes out at -2.579 eV/atom. The value obtained for the density of states at the Fermi level is 6.5 states/eV per cell. The formation energy comes out at 277.3 meV/atom.



# 11
ZnCdGe3 | PBE | optimized geometry

Cell lengths 5.1840, 5.1840, 5.1840 Å; angles 90.00, 90.00, 90.00 degrees
Space group Pm-3m (No. 221)
Inequivalent atoms, fractional coordinates:
1 Zn 0.0000 0.0000 0.0000 (multiplicity 1)
2 Cd 0.5000 0.5000 0.5000 (multiplicity 1)
3 Ge 0.0000 0.5000 0.5000 (multiplicity 3)

The final energy comes out at -2.289 eV/atom. The value obtained for the density of states at the Fermi level is 1.8 states/eV per cell. The formation energy comes out at 919.5 meV/atom.



# 12
Zn2Cd2Ge | PBE | optimized geometry

Cell lengths 8.0879, 8.0879, 3.0113 Å; angles 90.00, 90.00, 90.00 degrees
Space group P4/mbm (No. 127)
Inequivalent atoms, fractional coordinates:
1 Zn 0.1143 0.3857 0.0000 (multiplicity 4)
2 Cd 0.1840 0.6840 0.5000 (multiplicity 4)
3 Ge 0.0000 0.0000 0.0000 (multiplicity 2)

The final energy comes out at -1.617 eV/atom. The value obtained for the density of states at the Fermi level is 2.8 states/eV per cell. The formation energy comes out at 181.7 meV/atom.



# 13
ZnCdGe2 | PBE | optimized geometry

Cell lengths 4.4973, 4.4973, 16.9803 Å; angles 90.00, 90.00, 90.00 degrees
Space group I-42d (No. 122)
Inequivalent atoms, fractional coordinates:
1 Zn 0.0000 0.0000 0.0000 (multiplicity 4)
2 Cd 0.0000 0.0000 0.5000 (multiplicity 4)
3 Ge 0.1908 0.2500 0.1250 (multiplicity 8)

The final energy comes out at -2.656 eV/atom. The value obtained for the density of states at the Fermi level is 2.3 states/eV per cell. The formation energy comes out at 199.6 meV/atom.



# 14
Zn2CdGe2 | PBE | optimized geometry

Cell lengths 7.6773, 7.6773, 3.2030 Å; angles 90.00, 90.00, 90.00 degrees
Space group P4/mbm (No. 127)
Inequivalent atoms, fractional coordinates:
1 Zn 0.1208 0.3792 0.0000 (multiplicity 4)
2 Cd 0.0000 0.0000 0.0000 (multiplicity 2)
3 Ge 0.1814 0.6814 0.5000 (multiplicity 4)

The final energy comes out at -2.335 eV/atom. The value obtained for the density of states at the Fermi level is 4.0 states/eV per cell. The formation energy comes out at 204.2 meV/atom.



# 15
ZnCd2Ge2 | PBE | optimized geometry

Cell lengths 8.6304, 8.6304, 2.9444 Å; angles 90.00, 90.00, 90.00 degrees
Space group P4/mbm (No. 127)
Inequivalent atoms, fractional coordinates:
1 Zn 0.0000 0.0000 0.0000 (multiplicity 2)
2 Cd 0.1542 0.3458 0.0000 (multiplicity 4)
3 Ge 0.1434 0.6434 0.5000 (multiplicity 4)

The final energy comes out at -2.184 eV/atom. The value obtained for the density of states at the Fermi level is 3.3 states/eV per cell. The formation energy comes out at 284.1 meV/atom.



# 16
ZnCdGe3 | PBE | optimized geometry

Cell lengths 4.8950, 4.8950, 4.8950 Å; angles 90.00, 90.00, 90.00 degrees
Space group Pm-3m (No. 221)
Inequivalent atoms, fractional coordinates:
1 Zn 0.0000 0.0000 0.0000 (multiplicity 1)
2 Cd 0.5000 0.5000 0.5000 (multiplicity 1)
3 Ge 0.0000 0.0000 0.5000 (multiplicity 3)

The final energy comes out at -2.661 eV/atom. The value obtained for the density of states at the Fermi level is 1.7 states/eV per cell. The formation energy comes out at 546.8 meV/atom.



# 17
ZnCd2Ge2 | PBE | optimized geometry

Cell lengths 6.8118, 6.8118, 4.5686 Å; angles 90.00, 90.00, 90.00 degrees
Space group P4/mbm (No. 127)
Inequivalent atoms, fractional coordinates:
1 Zn 0.0000 0.0000 0.0000 (multiplicity 2)
2 Cd 0.1797 0.3203 0.5000 (multiplicity 4)
3 Ge 0.1350 0.6350 0.0000 (multiplicity 4)

The final energy comes out at -2.282 eV/atom. The value obtained for the density of states at the Fermi level is 2.8 states/eV per cell. The formation energy comes out at 186.2 meV/atom.



# 18
ZnCd2Ge2 | PBE | optimized geometry

Cell lengths 4.4718, 4.4718, 11.5318 Å; angles 90.00, 90.00, 90.00 degrees
Space group I4/mmm (No. 139)
Inequivalent atoms, fractional coordinates:
1 Zn 0.0000 0.0000 0.0000 (multiplicity 2)
2 Cd 0.0000 0.5000 0.2500 (multiplicity 4)
3 Ge 0.0000 0.0000 0.3943 (multiplicity 4)

The final energy comes out at -2.172 eV/atom. The value obtained for the density of states at the Fermi level is 4.8 states/eV per cell. The formation energy comes out at 295.7 meV/atom.



# 19
Zn2CdGe | PBE | optimized geometry

Cell lengths 3.0606, 3.0606, 7.7878 Å; angles 90.00, 90.00, 90.00 degrees
Space group P4/mmm (No. 123)
Inequivalent atoms, fractional coordinates:
1 Zn 0.0000 0.0000 0.2362 (multiplicity 2)
2 Cd 0.5000 0.5000 0.5000 (multiplicity 1)
3 Ge 0.5000 0.5000 0.0000 (multiplicity 1)

The final energy comes out at -1.862 eV/atom. The value obtained for the density of states at the Fermi level is 1.2 states/eV per cell. The formation energy comes out at 158.3 meV/atom.



# 20
Zn2CdGe | PBE | optimized geometry

Cell lengths 6.6849, 6.6849, 6.6849 Å; angles 90.00, 90.00, 90.00 degrees
Space group Fm-3m (No. 225)
Inequivalent atoms, fractional coordinates:
1 Zn 0.2500 0.2500 0.2500 (multiplicity 8)
2 Cd 0.0000 0.0000 0.0000 (multiplicity 4)
3 Ge 0.0000 0.0000 0.5000 (multiplicity 4)

The final energy comes out at -1.823 eV/atom. The value obtained for the density of states at the Fermi level is 8.7 states/eV per cell. The formation energy comes out at 197.4 meV/atom.



# 21
ZnCd2Ge2 | PBE | optimized geometry

Cell lengths 3.7748, 3.7748, 15.3609 Å; angles 90.00, 90.00, 90.00 degrees
Space group I4/mmm (No. 139)
Inequivalent atoms, fractional coordinates:
1 Zn 0.0000 0.0000 0.0000 (multiplicity 2)
2 Cd 0.0000 0.0000 0.4051 (multiplicity 4)
3 Ge 0.0000 0.5000 0.2500 (multiplicity 4)

The final energy comes out at -2.224 eV/atom. The value obtained for the density of states at the Fermi level is 3.8 states/eV per cell. The formation energy comes out at 243.5 meV/atom.



# 22
Zn2Cd2Ge | PBE | optimized geometry

Cell lengths 3.7153, 3.7153, 14.7446 Å; angles 90.00, 90.00, 90.00 degrees
Space group I4/mmm (No. 139)
Inequivalent atoms, fractional coordinates:
1 Zn 0.0000 0.5000 0.2500 (multiplicity 4)
2 Cd 0.0000 0.0000 0.1022 (multiplicity 4)
3 Ge 0.0000 0.0000 0.5000 (multiplicity 2)

The final energy comes out at -1.607 eV/atom. The value obtained for the density of states at the Fermi level is 3.3 states/eV per cell. The formation energy comes out at 192.2 meV/atom.



# 23
Zn2CdGe | PBE | optimized geometry

Cell lengths 4.1650, 4.1650, 18.2021 Å; angles 90.00, 90.00, 90.00 degrees
Space group I-42d (No. 122)
Inequivalent atoms, fractional coordinates:
1 Zn 0.2389 0.2500 0.1250 (multiplicity 8)
2 Cd 0.0000 0.0000 0.5000 (multiplicity 4)
3 Ge 0.0000 0.0000 0.0000 (multiplicity 4)

The final energy comes out at -1.834 eV/atom. The value obtained for the density of states at the Fermi level is 6.5 states/eV per cell. The formation energy comes out at 186.4 meV/atom.



# 24
Zn2CdGe2 | PBE | optimized geometry

Cell lengths 8.3007, 8.3007, 2.7836 Å; angles 90.00, 90.00, 90.00 degrees
Space group P4/mbm (No. 127)
Inequivalent atoms, fractional coordinates:
1 Zn 0.1527 0.3473 0.0000 (multiplicity 4)
2 Cd 0.0000 0.0000 0.5000 (multiplicity 2)
3 Ge 0.1437 0.6437 0.5000 (multiplicity 4)

The final energy comes out at -2.347 eV/atom. The value obtained for the density of states at the Fermi level is 3.0 states/eV per cell. The formation energy comes out at 192.6 meV/atom.



# 25
Zn2CdGe | PBE | optimized geometry

Cell lengths 4.2535, 4.2535, 15.3394 Å; angles 90.00, 90.00, 120.00 degrees
Space group R3m (No. 160, hexagonal axes)
Inequivalent atoms, fractional coordinates:
1 Zn 0.0000 0.0000 0.0000 (multiplicity 3)
2 Zn 0.0000 0.0000 0.1931 (multiplicity 3)
3 Cd 0.0000 0.0000 0.4244 (multiplicity 3)
4 Ge 0.0000 0.0000 0.6093 (multiplicity 3)

The final energy comes out at -1.875 eV/atom. The value obtained for the density of states at the Fermi level is 3.8 states/eV per cell. The formation energy comes out at 144.8 meV/atom.



# 26
Zn4CdGe | PBE | optimized geometry

Cell lengths 7.4621, 7.4621, 7.4621 Å; angles 90.00, 90.00, 90.00 degrees
Space group F-43m (No. 216)
Inequivalent atoms, fractional coordinates:
1 Zn 0.1252 0.1252 0.1252 (multiplicity 16)
2 Cd 0.2500 0.2500 0.7500 (multiplicity 4)
3 Ge 0.0000 0.0000 0.5000 (multiplicity 4)

The final energy comes out at -1.669 eV/atom. The value obtained for the density of states at the Fermi level is 11.3 states/eV per cell. The formation energy comes out at 102.7 meV/atom.